# LaMnCo2

A relaxed structure of LaMnCo2 (PBE, the Alexandria database).

Calculated values
**DOS(E_F)**: 5.346 states/eV/f.u.
**Energy of formation from the pure elements**: 0.78 eV/f.u.
**Space-group type**: Amm2, No. 38
**Crystal system**: orthorhombic

Cell: 3.810 5.381 5.381 Å, 41.28 90.00 90.00°
Fractional positions:
La 0.000 0.000 0.000
Mn 0.500 0.713 0.713
Co 0.000 0.263 0.263
Co 0.500 0.382 0.382

***

# Pr6ZnCd

A relaxed structure of Pr6ZnCd (PBE, the Alexandria database).

Calculated values
**DOS(E_F)**: 8.225 states/eV/f.u.
**Energy of formation from the pure elements**: -0.45 eV/f.u.
**Space-group type**: P-1, No. 2
**ΔE to the lowest computed polymorph**: 84 meV/atom
**Crystal system**: triclinic

Cell: 6.327 6.341 6.346 Å, 93.92 93.95 93.96°
Fractional positions:
Pr 0.034 0.061 0.257
Pr 0.242 0.464 0.939
Pr 0.440 0.743 0.463
Pr 0.560 0.257 0.537
Pr 0.758 0.536 0.061
Pr 0.966 0.939 0.743
Zn 0.000 0.500 0.500
Cd 0.500 0.000 0.000

***

# CaDyTh2

A relaxed structure of CaDyTh2 (PBE, the Alexandria database).

Calculated values
**DOS(E_F)**: 7.009 states/eV/f.u.
**Energy of formation from the pure elements**: 0.51 eV/f.u.
**Space-group type**: R3m, No. 160
**ΔE to the lowest computed polymorph**: 0 meV/atom
**Crystal system**: trigonal

Cell: 12.345 12.345 12.345 Å, 16.60 16.60 16.60°
Fractional positions:
Ca 0.000 0.000 0.000
Dy 0.831 0.831 0.831
Th 0.245 0.245 0.245
Th 0.419 0.419 0.419

***

Question: Number 3 is which compound?
Answer: CaDyTh2

***

Question: DOS(E_F) of number 2 (Pr6ZnCd)?
Answer: 8.225 states/eV/f.u.

***

Question: Among the records above, which one has the lowest energy of formation from the pure elements?
Answer: Pr6ZnCd

***

Question: The highest DOS(E_F) belongs to which entry?
Answer: Pr6ZnCd